A plane-wave DFT calculation with PBE was carried out for a geometry-optimized Ac2MgCd12Ag3 structure.

Summary:
Symmetry = R-3m
ΔH_f (0 K) = 172 meV per atom
Crystal system = trigonal
Total moment = 0.000 μB per formula unit

abc: 8.7041 8.7041 8.7041
angles: 67.28 67.28 67.28
Last column: nearest neighbours and their distance in Å.
Atoms (fractional coordinates):
Cd: 0.6442 0.0376 0.6442  2 Ag 2.79, 2 Cd 3.03
Cd: 0.1419 0.6387 0.1419  1 Ag 2.83, 1 Mg 2.85, 4 Cd 2.99-3.03
Cd: 0.0376 0.6442 0.6442  2 Ag 2.79, 2 Cd 3.03
Ac: 0.4013 0.4013 0.4013  6 Cd 3.35-3.47
Ag: 0.0000 0.5000 0.0000  6 Cd 2.79-2.83
Cd: 0.3558 0.9624 0.3558  2 Ag 2.79, 2 Cd 3.03
Cd: 0.6387 0.1419 0.1419  1 Ag 2.83, 1 Mg 2.85, 4 Cd 2.99-3.03
Cd: 0.8581 0.8581 0.3613  1 Ag 2.83, 1 Mg 2.85, 4 Cd 2.99-3.03
Cd: 0.9624 0.3558 0.3558  2 Ag 2.79, 2 Cd 3.03
Ac: 0.5987 0.5987 0.5987  6 Cd 3.35-3.47
Cd: 0.3613 0.8581 0.8581  1 Ag 2.83, 1 Mg 2.85, 4 Cd 2.99-3.03
Cd: 0.3558 0.3558 0.9624  2 Ag 2.79, 2 Cd 3.03
Cd: 0.8581 0.3613 0.8581  1 Ag 2.83, 1 Mg 2.85, 4 Cd 2.99-3.03
Mg: 0.0000 0.0000 0.0000  6 Cd 2.85
Cd: 0.1419 0.1419 0.6387  1 Ag 2.83, 1 Mg 2.85, 4 Cd 2.99-3.03
Cd: 0.6442 0.6442 0.0376  2 Ag 2.79, 2 Cd 3.03
Ag: 0.0000 0.0000 0.5000  6 Cd 2.79-2.83
Ag: 0.5000 0.0000 0.0000  6 Cd 2.79-2.83

=====

A plane-wave DFT calculation with PBE was carried out for a geometry-optimized Ac2MgCdAg6 structure.

Summary:
Symmetry = P-1
ΔH_f (0 K) = -129 meV per atom
Crystal system = triclinic
Total moment = 0.000 μB per formula unit

abc: 7.3066 7.2687 7.3006
angles: 81.26 46.61 99.46
Last column: nearest neighbours and their distance in Å.
Atoms (fractional coordinates):
Ac: 0.2435 0.7760 0.4673  7 Ag 3.43-3.47, 2 Cd 3.70, 2 Mg 3.78
Cd: 0.5000 0.5000 0.0000  6 Ag 2.83-2.87
Ag: 0.7500 0.5802 0.1713  1 Mg 2.84, 4 Ag 2.86-2.89, 1 Cd 2.87
Ag: 0.7481 0.2426 0.0081  1 Mg 2.73, 1 Cd 2.83, 4 Ag 2.86-2.90
Ag: 0.7507 0.7582 0.4940  1 Mg 2.72, 1 Cd 2.83, 4 Ag 2.86-2.90
Ac: 0.7565 0.2240 0.5327  7 Ag 3.43-3.47, 2 Cd 3.70, 2 Mg 3.78
Ag: 0.2519 0.7574 0.9919  1 Mg 2.73, 1 Cd 2.83, 4 Ag 2.86-2.90
Ag: 0.2500 0.4197 0.8287  1 Mg 2.84, 4 Ag 2.86-2.89, 1 Cd 2.87
Ag: 0.2493 0.2418 0.5060  1 Mg 2.72, 1 Cd 2.83, 4 Ag 2.86-2.90
Mg: 0.0000 0.0000 0.0000  6 Ag 2.72-2.84

=====

A plane-wave DFT calculation with PBE was carried out for a geometry-optimized NaAc2Cd12Ag3 structure.

Summary:
Symmetry = R-3m
ΔH_f (0 K) = 135 meV per atom
Crystal system = trigonal
Total moment = 0.000 μB per formula unit

abc: 8.6220 8.6220 8.6220
angles: 70.62 70.62 70.62
Last column: nearest neighbours and their distance in Å.
Atoms (fractional coordinates):
Cd: 0.8310 0.2955 0.2955  2 Ag 2.83
Cd: 0.1475 0.1475 0.6294  1 Ag 2.73, 1 Na 3.02
Ac: 0.5987 0.5987 0.5987  6 Cd 3.30-3.38
Cd: 0.7045 0.1690 0.7045  2 Ag 2.83
Cd: 0.8525 0.8525 0.3706  1 Ag 2.73, 1 Na 3.02
Cd: 0.7045 0.7045 0.1690  2 Ag 2.83
Cd: 0.3706 0.8525 0.8525  1 Ag 2.73, 1 Na 3.02
Cd: 0.2955 0.2955 0.8310  2 Ag 2.83
Cd: 0.6294 0.1475 0.1475  1 Ag 2.73, 1 Na 3.02
Cd: 0.1690 0.7045 0.7045  2 Ag 2.83
Ac: 0.4013 0.4013 0.4013  6 Cd 3.30-3.38
Cd: 0.8525 0.3706 0.8525  1 Ag 2.73, 1 Na 3.02
Cd: 0.1475 0.6294 0.1475  1 Ag 2.73, 1 Na 3.02
Ag: 0.0000 0.0000 0.5000  6 Cd 2.73-2.83
Ag: 0.5000 0.0000 0.0000  6 Cd 2.73-2.83
Cd: 0.2955 0.8310 0.2955  2 Ag 2.83
Na: 0.0000 0.0000 0.0000  6 Cd 3.02
Ag: 0.0000 0.5000 0.0000  6 Cd 2.73-2.83

=====

| no. | theoretical density (g/cm³) |
| --- | --- |
| 1 | 6.6 |
| 2 | 8.0 |
| 3 | 6.5 |